# 1
## TbZr2Sc4 (PBE-GGA)

Data for a relaxed structure of TbZr2Sc4.

Energy of formation from the pure elements: 134 meV per atom
Energy relative to the lowest polymorph listed for this composition: 107 meV per atom

a = 5.559 Å, b = 5.559 Å, c = 15.189 Å
α = 90.00°, β = 90.00°, γ = 131.26°
Fractional positions:
Tb  0.060  0.940  0.750
Tb  0.940  0.060  0.250
Zr  0.299  0.701  0.059
Zr  0.299  0.701  0.441
Zr  0.701  0.299  0.559
Zr  0.701  0.299  0.941
Sc  0.000  0.000  0.000
Sc  0.000  0.000  0.500
Sc  0.243  0.757  0.250
Sc  0.391  0.609  0.634
Sc  0.391  0.609  0.866
Sc  0.609  0.391  0.134
Sc  0.609  0.391  0.366
Sc  0.757  0.243  0.750


# 2
## LaGdErIn (PBE-GGA)

Data for a relaxed structure of LaGdErIn.

Energy of formation from the pure elements: -179 meV per atom

a = 5.547 Å, b = 5.547 Å, c = 5.547 Å
α = 60.00°, β = 60.00°, γ = 60.00°
Fractional positions:
La  0.000  0.000  0.000
Gd  0.500  0.500  0.500
Er  0.250  0.250  0.250
In  0.750  0.750  0.750


# 3
## BaNdAl4 (PBE-GGA)

Data for a relaxed structure of BaNdAl4.

Energy of formation from the pure elements: -299 meV per atom

a = 5.847 Å, b = 5.847 Å, c = 5.847 Å
α = 60.00°, β = 60.00°, γ = 60.00°
Fractional positions:
Ba  0.000  0.000  0.000
Nd  0.750  0.750  0.750
Al  0.376  0.376  0.376
Al  0.376  0.376  0.873
Al  0.376  0.873  0.376
Al  0.873  0.376  0.376


# 4
## Hf2MnCd (PBE-GGA)

Data for a relaxed structure of Hf2MnCd.

Energy of formation from the pure elements: 114 meV per atom

a = 4.645 Å, b = 4.645 Å, c = 3.419 Å
α = 90.00°, β = 90.00°, γ = 90.00°
Fractional positions:
Hf  0.000  0.500  0.000
Hf  0.500  0.000  0.000
Mn  0.000  0.000  0.500
Cd  0.500  0.500  0.500